A relaxed structure of BRuAu3. Source: the Alexandria database, functional PBEsol.

Output
Total DFT energy (no corrections) ... -18.3 eV/cell
Spin magnetization ... 1.99 μB/cell
E_form ... 2142 meV per atom

Unit cell a=4.9184 b=4.9184 c=4.9184 alpha=90.00 beta=90.00 gamma=90.00
With the nearest neighbours (Å) after each atom.
Atoms (fractional coordinates):
B 0.0000 0.0000 0.0000  12 Au 3.48
Ru 0.5000 0.5000 0.5000  6 Au 2.46
Au 0.0000 0.5000 0.5000  2 Ru 2.46
Au 0.5000 0.0000 0.5000  2 Ru 2.46
Au 0.5000 0.5000 0.0000  2 Ru 2.46


A relaxed structure of ZnReIr. Source: the Alexandria database, functional PBEsol.

Output
Total DFT energy (no corrections) ... -25.0 eV/cell
Spin magnetization ... 0.00 μB/cell
E_form ... -72 meV per atom

Unit cell a=5.8730 b=5.8730 c=5.8730 alpha=152.86 beta=152.86 gamma=38.76
With the nearest neighbours (Å) after each atom.
Atoms (fractional coordinates):
Zn 0.0000 0.0000 0.0000  4 Ir 2.70, 4 Re 2.73, 4 Zn 2.76
Re 0.3268 0.3268 0.0000  4 Ir 2.62, 4 Zn 2.73, 4 Re 2.76
Ir 0.6691 0.6691 0.0000  4 Re 2.62, 4 Zn 2.70, 4 Ir 2.76


A relaxed structure of CdSiRh2. Source: the Alexandria database, functional PBEsol.

Output
Formation energy from raw total energies ... -0.64 eV/atom
Total DFT energy (no corrections) ... -25.8 eV/cell
Spin magnetization ... 0.00 μB/cell

Unit cell a=2.8653 b=2.8653 c=6.9009 alpha=90.00 beta=90.00 gamma=90.00
With the nearest neighbours (Å) after each atom.
Atoms (fractional coordinates):
Cd 0.0000 0.0000 0.0000  4 Cd 2.87, 8 Rh 2.88
Si 0.0000 0.0000 0.5000  8 Rh 2.46
Rh 0.5000 0.5000 0.2976  4 Si 2.46
Rh 0.5000 0.5000 0.7024  4 Si 2.46


A relaxed structure of CaCu2Ni. Source: the Alexandria database, functional PBEsol.

Output
Total DFT energy (no corrections) ... -17.2 eV/cell
Spin magnetization ... 0.00 μB/cell
E_form ... -56 meV per atom

Unit cell a=5.2840 b=5.2840 c=5.2840 alpha=45.29 beta=45.29 gamma=45.29
With the nearest neighbours (Å) after each atom.
Atoms (fractional coordinates):
Ca 0.0000 0.0000 0.0000  1 Ni 2.71, 1 Cu 2.74
Cu 0.1927 0.1927 0.1927  3 Cu 2.39, 3 Ni 2.45
Cu 0.4957 0.4957 0.4957  3 Ni 2.37, 3 Cu 2.39
Ni 0.8093 0.8093 0.8093  6 Cu 2.37-2.45


A relaxed structure of ReSbI2O. Source: the Alexandria database, functional PBEsol.

Output
Formation energy from raw total energies ... 1.15 eV/atom
Total DFT energy (no corrections) ... -20.9 eV/cell
Spin magnetization ... 0.04 μB/cell

Unit cell a=5.3404 b=5.3404 c=5.1046 alpha=90.00 beta=90.00 gamma=90.00
With the nearest neighbours (Å) after each atom.
Atoms (fractional coordinates):
Re 0.0000 0.0000 0.0000  2 Sb 2.55, 4 I 2.67
Sb 0.0000 0.0000 0.5000  2 Re 2.55
I 0.0000 0.5000 0.0000  2 Re 2.67
I 0.5000 0.0000 0.0000  2 Re 2.67
O 0.5000 0.5000 0.5000  8 I 3.69, 4 Sb 3.78


A relaxed structure of TaSnSe2I. Source: the Alexandria database, functional PBEsol.

Output
Formation energy from raw total energies ... 0.01 eV/atom
Total DFT energy (no corrections) ... -26.2 eV/cell
Spin magnetization ... 0.00 μB/cell

Unit cell a=4.9529 b=4.9529 c=5.5531 alpha=90.00 beta=90.00 gamma=90.00
With the nearest neighbours (Å) after each atom.
Atoms (fractional coordinates):
Ta 0.0000 0.0000 0.0000  4 Se 2.48
Sn 0.5000 0.5000 0.5000  4 I 3.50, 8 Se 3.72
Se 0.0000 0.5000 0.0000  2 Ta 2.48
Se 0.5000 0.0000 0.0000  2 Ta 2.48
I 0.0000 0.0000 0.5000  2 Ta 2.78


A relaxed structure of Cu3SbO. Source: the Alexandria database, functional PBEsol.

Output
Formation energy from raw total energies ... 1.17 eV/atom
Total DFT energy (no corrections) ... -17.0 eV/cell
Spin magnetization ... 1.92 μB/cell

Unit cell a=4.7604 b=4.7604 c=4.7604 alpha=90.00 beta=90.00 gamma=90.00
With the nearest neighbours (Å) after each atom.
Atoms (fractional coordinates):
Cu 0.0000 0.0000 0.5000  2 Sb 2.38
Cu 0.0000 0.5000 0.0000  2 Sb 2.38
Cu 0.5000 0.0000 0.0000  2 Sb 2.38
Sb 0.0000 0.0000 0.0000  6 Cu 2.38
O 0.5000 0.5000 0.5000  12 Cu 3.37


A relaxed structure of AlZnP3. Source: the Alexandria database, functional PBEsol.

Output
Total DFT energy (no corrections) ... -19.0 eV/cell
Spin magnetization ... 0.00 μB/cell
E_form ... 814 meV per atom

Unit cell a=4.5806 b=4.5806 c=4.5806 alpha=90.00 beta=90.00 gamma=90.00
With the nearest neighbours (Å) after each atom.
Atoms (fractional coordinates):
Al 0.0000 0.0000 0.0000  6 P 2.29
Zn 0.5000 0.5000 0.5000  12 P 3.24
P 0.0000 0.0000 0.5000  2 Al 2.29
P 0.0000 0.5000 0.0000  2 Al 2.29
P 0.5000 0.0000 0.0000  2 Al 2.29


Question: What is the formula in the sixth record?
Answer: TaSnSe2I